Version i
Density functional theory data (PBE-GGA) for a relaxed Sr2ReMo crystal.

Crystal system   tetragonal
Magnetization   0.00 μB per formula unit
Fermi-level density of states   0.82 states/eV/atom

a b c (Å): 2.8813 2.8813 10.6966
angles (deg): 90.00 90.00 90.00
Positions (direct):
Mo1 0.5000 0.5000 0.2500
Re1 0.5000 0.5000 0.7500
Sr1 0.0000 0.0000 0.9949
Sr2 0.0000 0.0000 0.5051

Version ii
Density functional theory data (PBE-GGA) for a relaxed Sr2ReMo crystal.

Crystal system   trigonal
Magnetization   0.00 μB per formula unit
Fermi-level density of states   1.03 states/eV/atom

a b c (Å): 11.1154 11.1154 11.1154
angles (deg): 15.84 15.84 15.84
Positions (direct):
Mo1 0.2500 0.2500 0.2500
Re1 0.7500 0.7500 0.7500
Sr1 0.0013 0.0013 0.0013
Sr2 0.4987 0.4987 0.4987

Version iii
Density functional theory data (PBE-GGA) for a relaxed Sr2ReMo crystal.

Crystal system   tetragonal
Magnetization   1.19 μB per formula unit
Fermi-level density of states   1.30 states/eV/atom

a b c (Å): 11.7599 11.7599 8.6334
angles (deg): 47.07 47.07 90.00
Positions (direct):
Re1 0.0000 0.0000 0.0000
Re2 0.7500 0.2500 0.5000
Mo1 0.5000 0.5000 0.0000
Mo2 0.2500 0.7500 0.5000
Sr1 0.7982 0.1250 0.2500
Sr2 0.9518 0.6250 0.2500
Sr3 0.3750 0.2018 0.7500
Sr4 0.8750 0.0482 0.7500

Winner for stability: version iii

Version i
Density functional theory data (PBE-GGA) for a relaxed SrReMo crystal.

Crystal system   tetragonal
Magnetization   0.00 μB per formula unit
Fermi-level density of states   1.39 states/eV/atom

a b c (Å): 6.6443 6.6443 6.6443
angles (deg): 151.68 151.68 40.49
Positions (direct):
Mo1 0.9612 0.9612 0.0000
Re1 0.3678 0.3678 0.0000
Sr1 0.6710 0.6710 0.0000

Version ii
Density functional theory data (PBE-GGA) for a relaxed SrReMo crystal.

Crystal system   trigonal
Magnetization   0.00 μB per formula unit
Fermi-level density of states   0.74 states/eV/atom

a b c (Å): 4.9240 4.9240 2.7676
angles (deg): 90.00 90.00 120.00
Positions (direct):
Mo1 0.0000 0.0000 0.0399
Re1 0.6667 0.3333 0.2805
Sr1 0.3333 0.6667 0.6797

Winner for stability: version i

Version i
Density functional theory data (PBE-GGA) for a relaxed SrReMo crystal.

Crystal system   cubic
Magnetization   0.25 μB per formula unit
Fermi-level density of states   0.82 states/eV/atom

a b c (Å): 4.7445 4.7445 4.7445
angles (deg): 60.00 60.00 60.00
Positions (direct):
Mo1 0.0000 0.0000 0.0000
Re1 0.5000 0.5000 0.5000
Sr1 0.2500 0.2500 0.2500

Version ii
Density functional theory data (PBE-GGA) for a relaxed SrReMo crystal.

Crystal system   cubic
Magnetization   0.00 μB per formula unit
Fermi-level density of states   0.84 states/eV/atom

a b c (Å): 4.5772 4.5772 4.5772
angles (deg): 60.00 60.00 60.00
Positions (direct):
Mo1 0.5000 0.5000 0.5000
Re1 0.2500 0.2500 0.2500
Sr1 0.0000 0.0000 0.0000

Winner for stability: version ii

Version i
Density functional theory data (PBE-GGA) for a relaxed SrReMo crystal.

Crystal system   orthorhombic
Magnetization   0.00 μB per formula unit
Fermi-level density of states   0.98 states/eV/atom

a b c (Å): 7.8996 7.6952 2.9373
angles (deg): 83.09 75.25 21.66
Positions (direct):
Mo1 0.9788 0.9788 0.0212
Re1 0.3516 0.3516 0.6484
Sr1 0.6696 0.6696 0.3304

Version ii
Density functional theory data (PBE-GGA) for a relaxed SrReMo crystal.

Crystal system   trigonal
Magnetization   0.00 μB per formula unit
Fermi-level density of states   0.77 states/eV/atom

a b c (Å): 3.1762 3.1762 7.3508
angles (deg): 90.00 90.00 120.00
Positions (direct):
Mo1 0.0000 0.0000 0.0527
Re1 0.6667 0.3333 0.2875
Sr1 0.3333 0.6667 0.6599

Winner for stability: version i

Version i
Density functional theory data (PBE-GGA) for a relaxed SrRe2Mo crystal.

Crystal system   orthorhombic
Magnetization   0.00 μB per formula unit
Fermi-level density of states   0.97 states/eV/atom

a b c (Å): 5.6744 5.6744 5.6744
angles (deg): 148.97 127.22 62.50
Positions (direct):
Mo1 0.2500 0.7500 0.5000
Re1 0.0294 0.0294 0.0000
Re2 0.4706 0.4706 0.0000
Sr1 0.7500 0.2500 0.5000

Version ii
Density functional theory data (PBE-GGA) for a relaxed SrRe2Mo crystal.

Crystal system   trigonal
Magnetization   0.00 μB per formula unit
Fermi-level density of states   1.41 states/eV/atom

a b c (Å): 10.0282 10.0282 10.0282
angles (deg): 16.67 16.67 16.67
Positions (direct):
Mo1 0.7500 0.7500 0.7500
Re1 0.0110 0.0110 0.0110
Re2 0.4890 0.4890 0.4890
Sr1 0.2500 0.2500 0.2500

Winner for stability: version ii

Version i
Density functional theory data (PBE-GGA) for a relaxed SrRe2Mo crystal.

Crystal system   cubic
Magnetization   0.00 μB per formula unit
Fermi-level density of states   1.19 states/eV/atom

a b c (Å): 4.6547 4.6547 4.6547
angles (deg): 60.00 60.00 60.00
Positions (direct):
Re1 0.2500 0.2500 0.2500
Re2 0.7500 0.7500 0.7500
Mo1 0.5000 0.5000 0.5000
Sr1 0.0000 0.0000 0.0000

Version ii
Density functional theory data (PBE-GGA) for a relaxed SrRe2Mo crystal.

Crystal system   trigonal
Magnetization   0.00 μB per formula unit
Fermi-level density of states   0.78 states/eV/atom

a b c (Å): 10.3735 10.3735 10.3735
angles (deg): 15.85 15.85 15.85
Positions (direct):
Mo1 0.7387 0.7387 0.7387
Re1 0.9977 0.9977 0.9977
Re2 0.2619 0.2619 0.2619
Sr1 0.5017 0.5017 0.5017

Version iii
Density functional theory data (PBE-GGA) for a relaxed SrRe2Mo crystal.

Crystal system   tetragonal
Magnetization   0.00 μB per formula unit
Fermi-level density of states   1.05 states/eV/atom

a b c (Å): 3.1873 3.1873 7.8596
angles (deg): 90.00 90.00 90.00
Positions (direct):
Mo1 0.5000 0.5000 0.8220
Re1 0.0000 0.0000 0.0051
Re2 0.5000 0.5000 0.1805
Sr1 0.0000 0.0000 0.4924

Winner for stability: version iii

Version i
Density functional theory data (PBE-GGA) for a relaxed SrRe2Mo crystal.

Crystal system   tetragonal
Magnetization   0.00 μB per formula unit
Fermi-level density of states   1.00 states/eV/atom

a b c (Å): 3.1854 4.7605 4.7605
angles (deg): 90.00 90.00 90.00
Positions (direct):
Mo1 0.5000 0.0000 0.5000
Re1 0.0000 0.0000 0.0000
Re2 0.0000 0.5000 0.5000
Sr1 0.5000 0.5000 0.0000

Version ii
Density functional theory data (PBE-GGA) for a relaxed SrRe2Mo crystal.

Crystal system   tetragonal
Magnetization   0.00 μB per formula unit
Fermi-level density of states   0.87 states/eV/atom

a b c (Å): 4.9674 4.9674 9.3007
angles (deg): 74.51 74.51 90.00
Positions (direct):
Re1 0.8749 0.1250 0.2500
Re2 0.8751 0.6250 0.2500
Re3 0.3750 0.1251 0.7500
Re4 0.8750 0.1249 0.7500
Mo1 0.0000 0.0000 0.0000
Mo2 0.7500 0.2500 0.5000
Sr1 0.5000 0.5000 0.0000
Sr2 0.2500 0.7500 0.5000

Winner for stability: version ii

Version i
Density functional theory data (PBE-GGA) for a relaxed SrRe2Mo crystal.

Crystal system   cubic
Magnetization   0.00 μB per formula unit
Fermi-level density of states   1.13 states/eV/atom

a b c (Å): 4.6354 4.6354 4.6354
angles (deg): 60.00 60.00 60.00
Positions (direct):
Mo1 0.5000 0.5000 0.5000
Re1 0.0000 0.0000 0.0000
Re2 0.2500 0.2500 0.2500
Sr1 0.7500 0.7500 0.7500

Version ii
Density functional theory data (PBE-GGA) for a relaxed SrRe2Mo crystal.

Crystal system   orthorhombic
Magnetization   0.00 μB per formula unit
Fermi-level density of states   1.15 states/eV/atom

a b c (Å): 3.1457 4.6397 4.8597
angles (deg): 90.00 90.00 90.00
Positions (direct):
Mo1 0.0000 0.5000 0.5000
Re1 0.0000 0.0000 0.0000
Re2 0.5000 0.5000 0.0000
Sr1 0.5000 0.0000 0.5000

Version iii
Density functional theory data (PBE-GGA) for a relaxed SrRe2Mo crystal.

Crystal system   monoclinic
Magnetization   0.00 μB per formula unit
Fermi-level density of states   0.93 states/eV/atom

a b c (Å): 5.1453 5.1453 5.7735
angles (deg): 76.01 76.01 35.50
Positions (direct):
Mo1 0.7116 0.7116 0.8545
Re1 0.9980 0.9980 0.0078
Re2 0.2861 0.2861 0.1398
Sr1 0.5044 0.5044 0.4979

Winner for stability: version iii

Version i
Density functional theory data (PBE-GGA) for a relaxed SrRe3Mo crystal.

Crystal system   cubic
Magnetization   2.25 μB per formula unit
Fermi-level density of states   0.75 states/eV/atom

a b c (Å): 4.8295 4.8295 4.8295
angles (deg): 90.00 90.00 90.00
Positions (direct):
Re1 0.0000 0.5000 0.0000
Re2 0.0000 0.0000 0.5000
Re3 0.5000 0.0000 0.0000
Mo1 0.0000 0.0000 0.0000
Sr1 0.5000 0.5000 0.5000

Version ii
Density functional theory data (PBE-GGA) for a relaxed SrRe3Mo crystal.

Crystal system   cubic
Magnetization   0.00 μB per formula unit
Fermi-level density of states   1.15 states/eV/atom

a b c (Å): 4.6524 4.6524 4.6524
angles (deg): 90.00 90.00 90.00
Positions (direct):
Re1 0.0000 0.5000 0.0000
Re2 0.0000 0.0000 0.5000
Re3 0.5000 0.0000 0.0000
Mo1 0.5000 0.5000 0.5000
Sr1 0.0000 0.0000 0.0000

Winner for stability: version i

Version i
Density functional theory data (PBE-GGA) for a relaxed SrReMo3 crystal.

Crystal system   cubic
Magnetization   2.98 μB per formula unit
Fermi-level density of states   1.49 states/eV/atom

a b c (Å): 4.8951 4.8951 4.8951
angles (deg): 90.00 90.00 90.00
Positions (direct):
Re1 0.0000 0.0000 0.0000
Mo1 0.0000 0.5000 0.0000
Mo2 0.0000 0.0000 0.5000
Mo3 0.5000 0.0000 0.0000
Sr1 0.5000 0.5000 0.5000

Version ii
Density functional theory data (PBE-GGA) for a relaxed SrReMo3 crystal.

Crystal system   cubic
Magnetization   0.02 μB per formula unit
Fermi-level density of states   1.30 states/eV/atom

a b c (Å): 4.6220 4.6220 4.6220
angles (deg): 90.00 90.00 90.00
Positions (direct):
Re1 0.5000 0.5000 0.5000
Mo1 0.0000 0.5000 0.0000
Mo2 0.0000 0.0000 0.5000
Mo3 0.5000 0.0000 0.0000
Sr1 0.0000 0.0000 0.0000

Winner for stability: version i

Version i
Density functional theory data (PBE-GGA) for a relaxed TaReMo2 crystal.

Crystal system   monoclinic
Magnetization   0.00 μB per formula unit
Fermi-level density of states   0.65 states/eV/atom

a b c (Å): 5.2911 5.2784 5.2859
angles (deg): 145.06 129.55 62.90
Positions (direct):
Re1 0.5014 0.5015 0.9998
Mo1 0.9979 0.9981 0.0004
Mo2 0.7504 0.2500 0.4999
Ta1 0.2503 0.7502 0.4999

Version ii
Density functional theory data (PBE-GGA) for a relaxed TaReMo2 crystal.

Crystal system   orthorhombic
Magnetization   0.00 μB per formula unit
Fermi-level density of states   0.68 states/eV/atom

a b c (Å): 4.3846 5.3948 5.5707
angles (deg): 90.00 90.00 90.00
Positions (direct):
Ta1 0.0000 0.0936 0.6234
Ta2 0.0000 0.9064 0.1234
Re1 0.5000 0.2511 0.3722
Re2 0.5000 0.7489 0.8722
Mo1 0.0000 0.5910 0.6248
Mo2 0.0000 0.4090 0.1248
Mo3 0.5000 0.7480 0.3796
Mo4 0.5000 0.2520 0.8796

Version iii
Density functional theory data (PBE-GGA) for a relaxed TaReMo2 crystal.

Crystal system   orthorhombic
Magnetization   0.00 μB per formula unit
Fermi-level density of states   0.60 states/eV/atom

a b c (Å): 5.2997 5.2997 5.2997
angles (deg): 145.12 129.95 62.46
Positions (direct):
Re1 0.7500 0.2500 0.5000
Mo1 0.9986 0.9986 0.0000
Mo2 0.5014 0.5014 0.0000
Ta1 0.2500 0.7500 0.5000

Version iv
Density functional theory data (PBE-GGA) for a relaxed TaReMo2 crystal.

Crystal system   cubic
Magnetization   0.00 μB per formula unit
Fermi-level density of states   0.54 states/eV/atom

a b c (Å): 4.4997 4.4997 4.4997
angles (deg): 120.03 120.03 89.95
Positions (direct):
Re1 0.5000 0.5000 0.0000
Mo1 0.0000 0.0000 0.0000
Mo2 0.7500 0.2500 0.5000
Ta1 0.2500 0.7500 0.5000

Winner for stability: version iv